Ba2LiSmCoCu2O7: relaxed, GGA+U.

Cell and atoms, written as CIF:
```
data_Ba2LiSmCoCu2O7
_chemical_formula_sum 'Ba2 Li1 Sm1 Co1 Cu2 O7'
_symmetry_space_group_name_H-M 'P 1'
_symmetry_Int_Tables_number 1
_symmetry_space_group_name_Hall 'P 1'
_cell_length_a 11.686
_cell_length_b 3.920
_cell_length_c 4.190
_cell_angle_alpha 88.16
_cell_angle_beta 90.00
_cell_angle_gamma 90.00
loop_
_atom_site_label
_atom_site_type_symbol
_atom_site_fract_x
_atom_site_fract_y
_atom_site_fract_z
O1 O 0.000 0.993 0.484
O2 O 0.845 0.989 0.984
O3 O 0.624 0.493 0.020
O4 O 0.625 0.021 0.496
O5 O 0.376 0.493 0.020
O6 O 0.375 0.021 0.496
O7 O 0.155 0.989 0.984
Ba1 Ba 0.176 0.485 0.480
Ba2 Ba 0.824 0.485 0.480
Cu1 Cu 0.332 0.991 0.987
Cu2 Cu 0.668 0.991 0.987
Co1 Co 0.000 0.989 0.981
Li1 Li 0.500 0.158 0.175
Sm1 Sm 0.500 0.567 0.595
```

Computed properties:
The value obtained for the energy above the most stable polymorph in this dataset is 75 meV per atom. The calculation puts the total moment at 2.3 μB per cell. Its volume is 13.70 A^3/atom. The value obtained for the calculated total energy is -0.2165 Ha/atom.